Record 1
{
  "formula": "HfNbVOs",
  "functional": "PBE-GGA",
  "state": "relaxed",
  "lattice": [[-0.722, -0.275, -4.484], [-3.793, -1.955, -1.578], [-3.232, 2.545, -1.944]],
  "species": ["Hf", "Nb", "Os", "V"],
  "frac_coords": [[0.500, 0.500, 0.500], [0.000, 0.000, 0.000], [0.750, 0.750, 0.750], [0.250, 0.250, 0.250]],
  "space_group": "F-43m (216)"
}

Record 2
{
  "formula": "NaNdSm4Se8",
  "functional": "PBE-GGA",
  "state": "relaxed",
  "lattice": [[-4.396, -5.986, 4.398], [-1.129, -7.867, -3.366], [4.175, -6.789, 3.402]],
  "species": ["Na", "Nd", "Sm", "Sm", "Sm", "Sm", "Se", "Se", "Se", "Se", "Se", "Se", "Se", "Se"],
  "frac_coords": [[0.374, 0.374, 0.877], [0.004, 0.004, 0.987], [0.625, 0.625, 0.124], [0.005, 0.486, 0.505], [0.486, 0.005, 0.505], [0.005, 0.005, 0.505], [0.242, 0.778, 0.737], [0.778, 0.242, 0.737], [0.242, 0.242, 0.737], [0.240, 0.240, 0.280], [0.756, 0.227, 0.261], [0.227, 0.756, 0.261], [0.756, 0.756, 0.261], [0.758, 0.758, 0.725]],
  "space_group": "R3m (160)"
}

Record 3
{
  "formula": "ZrPRu2",
  "functional": "PBE-GGA",
  "state": "relaxed",
  "lattice": [[3.291, 3.405, 2.217], [-1.883, 3.345, 3.550], [0.608, -5.039, -1.256]],
  "species": ["Zr", "P", "Ru", "Ru"],
  "frac_coords": [[0.484, 0.484, 0.000], [0.232, 0.732, 0.500], [0.031, 0.031, 0.000], [0.754, 0.254, 0.500]],
  "space_group": "Imm2 (44)"
}

Here are the calculated energy numbers, same order: -10.35; -5.54; -8.53 (eV/atom).